No. 1
7
Lattice="4.810 0.000 0.000 0.000 7.677 0.000 0.000 0.000 7.680" Properties=species:S:1:pos:R:3 comment="Cs2PtBr2Cl2 PBE-GGA optimized geometry" dft_energy_ry_per_atom=-0.24858 sg="No. 25" pbc="T T T"
Cs 0.000 0.000 0.000
Cs 0.000 3.838 3.528
Pt 2.405 3.838 7.504
Br 2.405 2.099 5.770
Br 2.405 5.578 5.770
Cl 2.405 2.185 1.482
Cl 2.405 5.492 1.482


No. 2
18
Lattice="7.071 0.000 0.000 0.000 13.171 0.000 0.000 0.000 3.653" Properties=species:S:1:pos:R:3 comment="In2Fe3As4 PBE-GGA optimized geometry" dft_energy_ry_per_atom=-0.39135 sg="No. 58" pbc="T T T"
In 0.719 1.403 0.000
In 2.817 7.989 1.826
In 4.255 5.182 1.826
In 6.352 11.768 0.000
Fe 0.000 6.586 0.000
Fe 1.102 4.128 0.000
Fe 2.434 10.714 1.826
Fe 3.536 0.000 1.826
Fe 4.637 2.457 1.826
Fe 5.969 9.043 0.000
As 1.210 9.518 0.000
As 1.292 5.631 1.826
As 2.244 12.216 0.000
As 2.326 2.932 1.826
As 4.745 10.239 1.826
As 4.827 0.955 0.000
As 5.779 7.540 1.826
As 5.862 3.653 0.000


No. 3
12
Lattice="5.395 0.000 0.000 0.000 5.395 0.000 0.000 0.000 5.395" Properties=species:S:1:pos:R:3 comment="InCoB PBE-GGA optimized geometry" dft_energy_ry_per_atom=-0.36858 sg="No. 216" pbc="T T T"
In 0.000 0.000 0.000
In 0.000 2.698 2.698
In 2.698 0.000 2.698
In 2.698 2.698 0.000
Co 0.000 0.000 2.698
Co 0.000 2.698 0.000
Co 2.698 0.000 0.000
Co 2.698 2.698 2.698
B 1.349 1.349 4.047
B 1.349 4.047 1.349
B 4.047 1.349 1.349
B 4.047 4.047 4.047